(1)
LaAgGe2Au | PBE-GGA | relaxed

a = 6.281 Å, b = 6.281 Å, c = 6.281 Å
α = 138.79°, β = 138.79°, γ = 59.70°
Sites, in units of the cell vectors:
La  0.000  0.000  0.000
Ag  0.250  0.750  0.500
Ge  0.386  0.386  0.000
Ge  0.614  0.614  0.000
Au  0.750  0.250  0.500

(2)
BaPrN3 | PBE-GGA | relaxed

a = 7.248 Å, b = 3.753 Å, c = 7.260 Å
α = 90.00°, β = 118.49°, γ = 90.00°
Sites, in units of the cell vectors:
Ba  0.099  0.250  0.289
Ba  0.901  0.750  0.711
Pr  0.434  0.750  0.760
Pr  0.566  0.250  0.240
N  0.163  0.250  0.686
N  0.272  0.250  0.896
N  0.459  0.750  0.442
N  0.541  0.250  0.558
N  0.728  0.750  0.104
N  0.837  0.750  0.314

(3)
BaNaRe | PBE-GGA | relaxed

a = 5.187 Å, b = 5.187 Å, c = 5.187 Å
α = 60.00°, β = 60.00°, γ = 60.00°
Sites, in units of the cell vectors:
Ba  0.000  0.000  0.000
Na  0.500  0.500  0.500
Re  0.250  0.250  0.250

| no. | electronic total energy (hartree per atom) |
| --- | --- |
| 1 | -0.1693 |
| 2 | -0.2470 |
| 3 | -0.1353 |